(1)
Entry from Alexandria: a relaxed structure of TlPd5Au2 (PBE).

extended XYZ file:
```
16
Lattice="-1.0194 -0.8191 4.4778 5.6848 -2.1678 -1.5322 4.2768 9.3222 2.6788" Properties=species:S:1:pos:R:3 pbc="T T T"
Tl 5.3697 5.2515 4.6129
Tl 3.5725 1.0839 1.0115
Pd 8.0612 5.4153 5.2555
Pd 6.9377 2.9664 4.5518
Pd 6.0836 1.8109 1.7162
Pd 4.6066 -1.4087 0.7910
Pd 1.5472 1.4291 3.0435
Pd 7.3950 4.9062 2.5809
Pd 2.8586 4.5245 3.9082
Pd 4.3357 7.7441 4.8334
Pd 0.8810 0.9200 0.3689
Pd 2.0045 3.3690 1.0726
Au 4.2932 2.1092 3.7930
Au 2.7639 -1.2244 2.8351
Au 4.6490 4.2262 1.8314
Au 6.1784 7.5598 2.7893
```

Properties
total energy = -0.1589 hartree per atom
density of states at the Fermi level = 0.829 states/eV/atom
space-group type = Cmcm, No. 63
ΔH_f (0 K) = 0.038 eV/atom
distance to the lowest polymorph of the same formula = 176.4 meV per atom

(2)
Entry from Alexandria: a relaxed structure of RbTi2OsS (PBE).

extended XYZ file:
```
5
Lattice="-2.5628 3.1330 -2.4346 -3.8619 -2.5973 0.7229 -0.8618 2.3896 3.9822" Properties=species:S:1:pos:R:3 pbc="T T T"
S -3.6432 1.4626 1.1352
Os -1.9309 -1.2987 0.3614
Rb 0.0000 0.0000 0.0000
Ti -0.4309 1.1948 1.9911
Ti -1.2814 1.5665 -1.2173
```

Properties
total energy = -0.1365 hartree per atom
density of states at the Fermi level = 1.405 states/eV/atom
space-group type = P4/mmm, No. 123
raw formation energy = 2.7094 eV per atom

(3)
Entry from Alexandria: a relaxed structure of Cd5Pb3Cl16 (PBE).

extended XYZ file:
```
24
Lattice="-4.0511 6.7995 2.3687 -8.2520 0.3136 -0.2494 -0.7708 -4.1566 11.5339" Properties=species:S:1:pos:R:3 pbc="T T T"
Cd -8.8379 -0.7284 9.7077
Cd -8.5191 2.5273 7.4082
Cd -6.7636 2.4742 11.0005
Cd -2.3345 0.0433 3.6385
Cd -4.0629 2.3027 0.8145
Pb -10.8156 2.6275 10.8446
Pb -6.4015 0.1501 3.5699
Pb -4.3099 3.3793 4.8735
Cl -8.6582 0.9535 5.2401
Cl -6.8727 0.9354 8.7100
Cl -8.7184 0.8620 11.8535
Cl -0.6958 -2.7345 7.8906
Cl -0.3836 -0.5537 1.9872
Cl -6.5797 4.1625 6.5354
Cl -10.4751 0.9653 8.5124
Cl -8.5243 3.9773 9.7282
Cl -2.7838 -2.5283 10.7300
Cl -10.4657 4.1029 6.6285
Cl -4.1983 -0.2232 1.6883
Cl -2.3475 2.6343 2.8418
Cl -4.2027 0.5320 5.4253
Cl -6.9012 -2.2937 10.7191
Cl -6.0464 2.8306 2.6893
Cl -4.9066 0.7858 11.9622
```

Properties
total energy = -0.1092 hartree per atom
density of states at the Fermi level = 0.000 states/eV/atom
space-group type = Cm, No. 8
raw formation energy = -1.0862 eV per atom